Entry 1:
Below is crystalline CsCuSb2Cl8 at its relaxed geometry, with properties calculated at the GGA-PBE level.

Output
uncorrected formation energy = -998.8 meV per atom
theoretical density = 2869 kg/m3
crystal system = triclinic

abc: 5.780 8.679 8.967
angles: 79.16 89.81 71.77
Space group P-1 (No. 2)
Inequivalent atoms, fractional coordinates:
Cs1 0.000 0.000 0.000 (multiplicity 1)
Cu1 0.500 0.000 0.500 (multiplicity 1)
Sb1 0.278 0.432 0.700 (multiplicity 2)
Cl1 0.128 0.723 0.713 (multiplicity 2)
Cl2 0.131 0.594 0.318 (multiplicity 2)
Cl3 0.335 0.338 0.969 (multiplicity 2)
Cl4 0.468 0.069 0.715 (multiplicity 2)

Entry 2:
Below is crystalline CsBa2NdCl8 at its relaxed geometry, with properties calculated at the GGA-PBE level.

Output
uncorrected formation energy = -2335.2 meV per atom
theoretical density = 3424 kg/m3
crystal system = monoclinic

abc: 5.334 10.288 7.396
angles: 90.00 93.39 90.00
Space group P2/m (No. 10)
Inequivalent atoms, fractional coordinates:
Cs1 0.000 0.000 0.000 (multiplicity 1)
Ba1 0.500 0.250 0.500 (multiplicity 2)
Nd1 0.000 0.500 0.000 (multiplicity 1)
Cl1 0.016 0.293 0.751 (multiplicity 4)
Cl2 0.479 0.000 0.728 (multiplicity 2)
Cl3 0.481 0.500 0.217 (multiplicity 2)

Entry 3:
Below is crystalline Mg3ZnCr at its relaxed geometry, with properties calculated at the GGA-PBE level.

Output
offset from the most stable computed form = 217.3 meV/atom
DFT formation energy = 1.015 eV per atom
theoretical density = 2790 kg/m3
crystal system = cubic

abc: 4.838 4.838 4.838
angles: 90.00 90.00 90.00
Space group Pm-3m (No. 221)
Inequivalent atoms, fractional coordinates:
Mg1 0.000 0.000 0.500 (multiplicity 3)
Zn1 0.000 0.000 0.000 (multiplicity 1)
Cr1 0.500 0.500 0.500 (multiplicity 1)

Entry 4:
Below is crystalline SrDyCrN3 at its relaxed geometry, with properties calculated at the GGA-PBE level.

Output
uncorrected formation energy = -906.5 meV per atom
theoretical density = 6739 kg/m3
crystal system = monoclinic

abc: 13.069 3.748 7.183
angles: 90.00 105.41 90.00
Space group C2/m (No. 12)
Inequivalent atoms, fractional coordinates:
Sr1 0.142 0.000 0.076 (multiplicity 4)
Dy1 0.155 0.000 0.569 (multiplicity 4)
Cr1 0.005 0.500 0.702 (multiplicity 4)
N1 0.004 0.000 0.295 (multiplicity 4)
N2 0.146 0.500 0.805 (multiplicity 4)
N3 0.159 0.500 0.350 (multiplicity 4)

Entry 5:
Below is crystalline InS2BrO8 at its relaxed geometry, with properties calculated at the GGA-PBE level.

Output
uncorrected formation energy = -1148.9 meV per atom
theoretical density = 3115 kg/m3
crystal system = monoclinic

abc: 9.247 5.389 8.584
angles: 90.00 105.40 90.00
Space group C2/m (No. 12)
Inequivalent atoms, fractional coordinates:
In1 0.000 0.000 0.000 (multiplicity 2)
S1 0.203 0.500 0.205 (multiplicity 4)
Br1 0.000 0.000 0.500 (multiplicity 2)
O1 0.107 0.276 0.171 (multiplicity 8)
O2 0.186 0.000 0.890 (multiplicity 4)
O3 0.227 0.000 0.615 (multiplicity 4)

Entry 6:
Below is crystalline SmHo2Cu3 at its relaxed geometry, with properties calculated at the GGA-PBE level.

Output
DFT formation energy = -0.239 eV per atom
theoretical density = 8809 kg/m3
crystal system = tetragonal

abc: 3.471 3.471 10.497
angles: 90.00 90.00 90.00
Space group P4/mmm (No. 123)
Inequivalent atoms, fractional coordinates:
Sm1 0.000 0.000 0.000 (multiplicity 1)
Ho1 0.000 0.000 0.336 (multiplicity 2)
Cu1 0.500 0.500 0.177 (multiplicity 2)
Cu2 0.500 0.500 0.500 (multiplicity 1)

Entry 7:
Below is crystalline Tl8In5Bi at its relaxed geometry, with properties calculated at the GGA-PBE level.

Output
DFT formation energy = 0.059 eV per atom
theoretical density = 9250 kg/m3
crystal system = tetragonal

abc: 9.527 9.527 9.565
angles: 90.00 90.00 90.00
Space group I-4 (No. 82)
Inequivalent atoms, fractional coordinates:
Tl1 0.067 0.166 0.179 (multiplicity 8)
Tl2 0.096 0.325 0.516 (multiplicity 8)
In1 0.000 0.500 0.250 (multiplicity 2)
In2 0.119 0.288 0.848 (multiplicity 8)
Bi1 0.000 0.000 0.500 (multiplicity 2)

Entry 8:
Below is crystalline BaNdCd3 at its relaxed geometry, with properties calculated at the GGA-PBE level.

Output
DFT formation energy = -0.287 eV per atom
theoretical density = 6621 kg/m3
crystal system = orthorhombic

abc: 3.869 31.101 5.159
angles: 90.00 90.00 90.00
Space group Cmcm (No. 63)
Inequivalent atoms, fractional coordinates:
Ba1 0.000 0.076 0.250 (multiplicity 4)
Nd1 0.000 0.213 0.750 (multiplicity 4)
Cd1 0.000 0.320 0.750 (multiplicity 4)
Cd2 0.000 0.374 0.250 (multiplicity 4)
Cd3 0.000 0.475 0.250 (multiplicity 4)

Entry 9:
Below is crystalline CsNaGeF6 at its relaxed geometry, with properties calculated at the GGA-PBE level.

Output
uncorrected formation energy = -2736.6 meV per atom
theoretical density = 3215 kg/m3
crystal system = trigonal

abc: 5.7466 5.7466 6.1847
angles: 90.00 90.00 120.00
Space group P312 (No. 149)
Inequivalent atoms, fractional coordinates:
Cs1 0.0000 0.0000 0.0000 (multiplicity 1)
Na1 0.3333 0.6667 0.5000 (multiplicity 1)
Ge1 0.6667 0.3333 0.5000 (multiplicity 1)
F1 0.4129 0.0642 0.6708 (multiplicity 6)

Entry 10:
Below is crystalline Cs3SrHg2Br9 at its relaxed geometry, with properties calculated at the GGA-PBE level.

Output
uncorrected formation energy = -1307.2 meV per atom
theoretical density = 4589 kg/m3
crystal system = trigonal

abc: 8.1713 8.1713 10.0532
angles: 90.00 90.00 120.00
Space group P-3m1 (No. 164)
Inequivalent atoms, fractional coordinates:
Cs1 0.0000 0.0000 0.0000 (multiplicity 1)
Cs2 0.3333 0.6667 0.6759 (multiplicity 2)
Sr1 0.0000 0.0000 0.5000 (multiplicity 1)
Hg1 0.3333 0.6667 0.1589 (multiplicity 2)
Br1 0.0000 0.5000 0.0000 (multiplicity 3)
Br2 0.1715 0.3430 0.3246 (multiplicity 6)

Entry 11:
Below is crystalline FeGe2BiI at its relaxed geometry, with properties calculated at the GGA-PBE level.

Output
uncorrected formation energy = 235.8 meV per atom
theoretical density = 7485 kg/m3
crystal system = tetragonal

abc: 4.582 4.582 5.675
angles: 90.00 90.00 90.00
Space group P4/mmm (No. 123)
Inequivalent atoms, fractional coordinates:
Fe1 0.000 0.000 0.000 (multiplicity 1)
Ge1 0.000 0.500 0.000 (multiplicity 2)
Bi1 0.000 0.000 0.500 (multiplicity 1)
I1 0.500 0.500 0.500 (multiplicity 1)

Entry 12:
Below is crystalline PmNp2PaSb4 at its relaxed geometry, with properties calculated at the GGA-PBE level.

Output
uncorrected formation energy = -512.1 meV per atom
theoretical density = 9123 kg/m3
crystal system = monoclinic

abc: 7.613 4.421 7.672
angles: 90.00 109.54 90.00
Space group P2/m (No. 10)
Inequivalent atoms, fractional coordinates:
Pm1 0.000 0.000 0.000 (multiplicity 1)
Np1 0.500 0.000 0.500 (multiplicity 1)
Np2 0.500 0.500 0.000 (multiplicity 1)
Pa1 0.000 0.500 0.500 (multiplicity 1)
Sb1 0.250 0.000 0.747 (multiplicity 2)
Sb2 0.253 0.500 0.255 (multiplicity 2)

Entry 13:
Below is crystalline CrFe3Pt12 at its relaxed geometry, with properties calculated at the GGA-PBE level.

Output
DFT formation energy = -0.237 eV per atom
theoretical density = 17736 kg/m3
crystal system = tetragonal

abc: 3.924 3.924 15.571
angles: 90.00 90.00 90.00
Space group P4/mmm (No. 123)
Inequivalent atoms, fractional coordinates:
Cr1 0.000 0.000 0.000 (multiplicity 1)
Fe1 0.000 0.000 0.251 (multiplicity 2)
Fe2 0.000 0.000 0.500 (multiplicity 1)
Pt1 0.000 0.500 0.126 (multiplicity 4)
Pt2 0.000 0.500 0.375 (multiplicity 4)
Pt3 0.500 0.500 0.000 (multiplicity 1)
Pt4 0.500 0.500 0.251 (multiplicity 2)
Pt5 0.500 0.500 0.500 (multiplicity 1)

Entry 14:
Below is crystalline AlReNi2 at its relaxed geometry, with properties calculated at the GGA-PBE level.

Output
DFT formation energy = 0.349 eV per atom
theoretical density = 9965 kg/m3
crystal system = tetragonal

abc: 3.593 3.593 17.069
angles: 90.00 90.00 90.00
Space group I-42d (No. 122)
Inequivalent atoms, fractional coordinates:
Al1 0.000 0.000 0.000 (multiplicity 4)
Re1 0.000 0.000 0.500 (multiplicity 4)
Ni1 0.246 0.250 0.125 (multiplicity 8)

Entry 15:
Below is crystalline SrLi2CdCu at its relaxed geometry, with properties calculated at the GGA-PBE level.

Output
DFT formation energy = -0.028 eV per atom
theoretical density = 3709 kg/m3
crystal system = tetragonal

abc: 4.935 4.935 5.099
angles: 90.00 90.00 90.00
Space group P4/mmm (No. 123)
Inequivalent atoms, fractional coordinates:
Sr1 0.000 0.000 0.000 (multiplicity 1)
Li1 0.000 0.500 0.500 (multiplicity 2)
Cd1 0.500 0.500 0.000 (multiplicity 1)
Cu1 0.500 0.500 0.500 (multiplicity 1)

Entry 16:
Below is crystalline Th2ScGa3Ir4 at its relaxed geometry, with properties calculated at the GGA-PBE level.

Output
DFT formation energy = -0.798 eV per atom
theoretical density = 12688 kg/m3
crystal system = tetragonal

abc: 4.189 4.189 11.092
angles: 90.00 90.00 90.00
Space group P-4m2 (No. 115)
Inequivalent atoms, fractional coordinates:
Th1 0.000 0.500 0.230 (multiplicity 2)
Sc1 0.000 0.000 0.500 (multiplicity 1)
Ga1 0.000 0.500 0.878 (multiplicity 2)
Ga2 0.500 0.500 0.500 (multiplicity 1)
Ir1 0.000 0.000 0.000 (multiplicity 1)
Ir2 0.000 0.500 0.652 (multiplicity 2)
Ir3 0.500 0.500 0.000 (multiplicity 1)

Entry 17:
Below is crystalline Tm12GaNi6 at its relaxed geometry, with properties calculated at the GGA-PBE level.

Output
offset from the most stable computed form = 132.5 meV/atom
DFT formation energy = -0.258 eV per atom
theoretical density = 9048 kg/m3
crystal system = trigonal

abc: 13.4403 13.4403 8.6197
angles: 90.00 90.00 120.00
Space group R-3 (No. 148, hexagonal axes)
Inequivalent atoms, fractional coordinates:
Tm1 0.0386 0.2525 0.4272 (multiplicity 18)
Tm2 0.0591 0.1798 0.8300 (multiplicity 18)
Ga1 0.0000 0.0000 0.5000 (multiplicity 3)
Ni1 0.0724 0.5002 0.7848 (multiplicity 18)

Entry 18:
Below is crystalline KCd3Re at its relaxed geometry, with properties calculated at the GGA-PBE level.

Output
offset from the most stable computed form = 0.0 meV/atom
DFT formation energy = 0.628 eV per atom
theoretical density = 6018 kg/m3
crystal system = cubic

abc: 5.374 5.374 5.374
angles: 90.00 90.00 90.00
Space group Pm-3m (No. 221)
Inequivalent atoms, fractional coordinates:
K1 0.000 0.000 0.000 (multiplicity 1)
Cd1 0.000 0.500 0.500 (multiplicity 3)
Re1 0.500 0.500 0.500 (multiplicity 1)

Entry 19:
Below is crystalline Sr2La4As3O2 at its relaxed geometry, with properties calculated at the GGA-PBE level.

Output
uncorrected formation energy = -1842.5 meV per atom
theoretical density = 5636 kg/m3
crystal system = tetragonal

abc: 4.829 4.829 24.959
angles: 90.00 90.00 90.00
Space group I4/mmm (No. 139)
Inequivalent atoms, fractional coordinates:
Sr1 0.000 0.000 0.200 (multiplicity 4)
La1 0.000 0.500 0.080 (multiplicity 8)
As1 0.000 0.000 0.329 (multiplicity 4)
As2 0.000 0.000 0.500 (multiplicity 2)
O1 0.000 0.000 0.100 (multiplicity 4)

Entry 20:
Below is crystalline InRe2Br at its relaxed geometry, with properties calculated at the GGA-PBE level.

Output
offset from the most stable computed form = 1086.9 meV/atom
uncorrected formation energy = 1365.5 meV per atom
theoretical density = 13434 kg/m3
crystal system = tetragonal

abc: 2.913 2.913 8.260
angles: 90.00 90.00 90.00
Space group P4/mmm (No. 123)
Inequivalent atoms, fractional coordinates:
In1 0.000 0.000 0.000 (multiplicity 1)
Re1 0.500 0.500 0.255 (multiplicity 2)
Br1 0.000 0.000 0.500 (multiplicity 1)